SbAsW2 | PBE | relaxed

Summary:
Space-group type: P4mm (99)
Size of the total moment, Bohr magnetons per cell: 0.00
ΔE_f (raw), meV/atom: 232

Lattice parameters (Å, degrees): 3.1993 3.1993 7.8839 90.00 90.00 90.00
Last column: nearest neighbours and their distance in Å.
Atoms (fractional coordinates):
Sb: 0.0000 0.0000 0.0000  4 W 2.96, 4 Sb 3.20
As: 0.5000 0.5000 0.6206  5 W 2.73-2.98
W: 0.0000 0.0000 0.4278  4 W 2.69, 4 As 2.73
W: 0.5000 0.5000 0.2428  4 W 2.69, 4 Sb 2.96, 1 As 2.98